(1)
A plane-wave DFT calculation with GGA-PBE was carried out for a geometry-optimized Pr7Ga2N structure.

Lattice parameters (Å, degrees): 7.4636 7.4636 7.4636 60.00 60.00 60.00
Fractional positions:
Pr 0.2309 0.7691 0.2309
Pr 0.7691 0.2309 0.7691
Pr 0.7691 0.7691 0.2309
Pr 0.5000 0.5000 0.5000
Pr 0.7691 0.2309 0.2309
Pr 0.2309 0.7691 0.7691
Pr 0.2309 0.2309 0.7691
Ga 0.2500 0.2500 0.2500
Ga 0.7500 0.7500 0.7500
N 0.0000 0.0000 0.0000

Output
Uncorrected formation energy, meV/atom: 55
N(E_F), states/eV/atom: 0.89
Space group: No. 225
Raw total energy, eV/atom: -4.728
Theoretical density, Mg/m³: 6.44
M_tot, μB per atom: 0.000

***

(2)
A plane-wave DFT calculation with GGA-PBE was carried out for a geometry-optimized La6AsP4 structure.

Lattice parameters (Å, degrees): 4.2545 7.3171 21.4066 90.00 90.00 106.90
Last column: magnetic moment on the atom in μB.
Fractional positions:
La 0.5000 0.0000 0.0000  0.01
La 0.7752 0.5504 0.4182  0.00
La 0.9541 0.9081 0.8374  0.06
La 0.6798 0.3596 0.7500  0.11
La 0.9541 0.9081 0.6626  0.06
La 0.7752 0.5504 0.0818  0.00
La 0.2248 0.4496 0.9182  0.00
La 0.2248 0.4496 0.5818  0.00
La 0.0459 0.0919 0.1626  0.06
La 0.5000 0.0000 0.5000  0.01
La 0.0459 0.0919 0.3374  0.06
La 0.3202 0.6404 0.2500  0.11
P 0.4107 0.8214 0.1282  0.00
P 0.5893 0.1786 0.8718  0.00
P 0.8624 0.7247 0.5431  0.00
P 0.5893 0.1786 0.6282  0.00
P 0.1376 0.2753 0.0431  0.00
P 0.8624 0.7247 0.9569  0.00
P 0.4107 0.8214 0.3718  0.00
P 0.1376 0.2753 0.4569  0.00
As 0.6636 0.3272 0.2500  -0.01
As 0.3364 0.6728 0.7500  -0.01

Output
N(E_F), states/eV/atom: 0.41
Energy relative to the elements, eV per atom: -1.451
Space group: No. 63
Raw total energy, eV/atom: -6.528
Theoretical density, Mg/m³: 5.38
M_tot, μB per atom: 0.065

***

(3)
A plane-wave DFT calculation with GGA-PBE was carried out for a geometry-optimized Tm3Hf2Zn3 structure.

Lattice parameters (Å, degrees): 3.3998 4.9743 10.7497 103.38 99.10 90.00
Fractional positions:
Zn 0.1185 0.1185 0.2370
Zn 0.8815 0.8815 0.7630
Zn 0.0000 0.5000 0.0000
Hf 0.7323 0.2323 0.4646
Hf 0.2677 0.7677 0.5354
Tm 0.5000 0.0000 0.0000
Tm 0.6260 0.6260 0.2519
Tm 0.3740 0.3740 0.7481

Output
N(E_F), states/eV/atom: 0.69
Energy relative to the elements, eV per atom: -0.226
Space group: No. 71
Raw total energy, eV/atom: -4.869
Theoretical density, Mg/m³: 10.09
M_tot, μB per atom: 0.000

***

(4)
A plane-wave DFT calculation with GGA-PBE was carried out for a geometry-optimized SnSb2Pd2 structure.

Lattice parameters (Å, degrees): 8.0862 8.0862 3.2944 90.00 90.00 90.00
Fractional positions:
Sn 0.0000 0.0000 0.0000
Sn 0.5000 0.5000 0.0000
Sb 0.6566 0.8434 0.5000
Sb 0.1566 0.6566 0.5000
Sb 0.3434 0.1566 0.5000
Sb 0.8434 0.3434 0.5000
Pd 0.6329 0.1329 0.0000
Pd 0.8671 0.6329 0.0000
Pd 0.1329 0.3671 0.0000
Pd 0.3671 0.8671 0.0000

Output
Uncorrected formation energy, meV/atom: -213
N(E_F), states/eV/atom: 0.45
Space group: No. 127
Relative energy among the computed polymorphs, meV/atom: 0
Raw total energy, eV/atom: -4.740
Theoretical density, Mg/m³: 8.87
M_tot, μB per atom: 0.000

***

(5)
A plane-wave DFT calculation with GGA-PBE was carried out for a geometry-optimized KCd3Pt structure.

Lattice parameters (Å, degrees): 5.4712 7.7369 7.0069 90.00 80.92 90.00
Fractional positions:
Pt 0.0498 0.7500 0.8303
Pt 0.9502 0.2500 0.1697
Cd 0.2674 0.4435 0.9009
Cd 0.5714 0.7500 0.7466
Cd 0.4286 0.2500 0.2534
Cd 0.7326 0.5565 0.0991
Cd 0.2674 0.0565 0.9009
Cd 0.7326 0.9435 0.0991
K 0.1686 0.7500 0.3660
K 0.8314 0.2500 0.6340

Output
N(E_F), states/eV/atom: 0.55
Energy relative to the elements, eV per atom: -0.144
Space group: No. 11
Relative energy among the computed polymorphs, meV/atom: 111
Raw total energy, eV/atom: -2.121
Theoretical density, Mg/m³: 6.48
M_tot, μB per atom: 0.000

***

(6)
A plane-wave DFT calculation with GGA-PBE was carried out for a geometry-optimized BaNp2CuP4 structure.

Lattice parameters (Å, degrees): 4.0633 7.0588 13.3726 90.00 90.00 106.73
Last column: magnetic moment on the atom in μB.
Fractional positions:
Ba 0.1082 0.2163 0.7500  -0.03
Ba 0.8918 0.7837 0.2500  -0.03
Np 0.6306 0.2611 0.0578  2.91
Np 0.3694 0.7389 0.5578  2.91
Np 0.3694 0.7389 0.9422  2.91
Np 0.6306 0.2611 0.4422  2.91
P 0.2557 0.5114 0.1063  -0.14
P 0.0000 0.0000 0.5000  -0.15
P 0.2557 0.5114 0.3937  -0.14
P 0.7443 0.4886 0.6063  -0.14
P 0.0000 0.0000 0.0000  -0.15
P 0.7443 0.4886 0.8937  -0.14
P 0.5734 0.1469 0.2500  -0.13
P 0.4266 0.8531 0.7500  -0.13
Cu 0.1614 0.3228 0.2500  -0.11
Cu 0.8386 0.6772 0.7500  -0.11

Output
N(E_F), states/eV/atom: 2.41
Energy relative to the elements, eV per atom: -0.736
Space group: No. 63
Raw total energy, eV/atom: -7.428
Theoretical density, Mg/m³: 7.22
M_tot, μB per atom: 0.623

***

(7)
A plane-wave DFT calculation with GGA-PBE was carried out for a geometry-optimized SiTc2Pb structure.

Lattice parameters (Å, degrees): 4.7851 4.7851 5.1774 73.35 73.35 38.49
Fractional positions:
Pb 0.5055 0.5055 0.5327
Tc 0.7319 0.7319 0.7780
Tc 0.9919 0.9919 0.0800
Si 0.2707 0.2707 0.1093

Output
Uncorrected formation energy, meV/atom: 335
N(E_F), states/eV/atom: 0.85
Space group: No. 8
Relative energy among the computed polymorphs, meV/atom: 162
Raw total energy, eV/atom: -7.131
Theoretical density, Mg/m³: 10.19
M_tot, μB per atom: 0.000

***

(8)
A plane-wave DFT calculation with GGA-PBE was carried out for a geometry-optimized Nd8ErTm5 structure.

Lattice parameters (Å, degrees): 8.5590 8.6104 8.5655 114.24 98.31 116.07
Fractional positions:
Tm 0.8285 0.7388 0.6959
Tm 0.5945 0.0011 0.5933
Tm 0.3107 0.0373 0.9034
Tm 0.8670 0.9629 0.2732
Tm 0.9574 0.2613 0.0896
Nd 0.0873 0.7803 0.4299
Nd 0.0856 0.2088 0.7454
Nd 0.2141 0.7309 0.0835
Nd 0.3535 0.2701 0.4845
Nd 0.4804 0.5453 0.2445
Nd 0.6485 0.2184 0.3050
Nd 0.6994 0.4552 0.9355
Nd 0.5360 0.7906 0.8756
Er 0.0871 0.4990 0.5906

Output
N(E_F), states/eV/atom: 1.48
Energy relative to the elements, eV per atom: 0.173
Space group: No. 1
Raw total energy, eV/atom: -4.474
Theoretical density, Mg/m³: 7.58
M_tot, μB per atom: 0.000

***

(9)
A plane-wave DFT calculation with GGA-PBE was carried out for a geometry-optimized Cs4PCl2 structure.

Lattice parameters (Å, degrees): 6.5720 6.5720 10.4796 71.73 71.73 90.00
Last column: magnetic moment on the atom in μB.
Fractional positions:
Cs 0.5000 0.0000 0.0000  0.04
Cs 0.8165 0.8165 0.3670  0.00
Cs 0.0000 0.5000 0.0000  0.04
Cs 0.1835 0.1835 0.6330  0.00
Cl 0.6371 0.6371 0.7259  0.00
Cl 0.3629 0.3629 0.2741  0.00
P 0.0000 0.0000 0.0000  0.36

Output
Uncorrected formation energy, meV/atom: -976
N(E_F), states/eV/atom: 0.09
Space group: No. 139
Raw total energy, eV/atom: -2.764
Theoretical density, Mg/m³: 2.59
M_tot, μB per atom: 0.141

***

(10)
A plane-wave DFT calculation with GGA-PBE was carried out for a geometry-optimized OsPb3Br structure.

Lattice parameters (Å, degrees): 5.3442 5.3442 5.3442 90.00 90.00 90.00
Fractional positions:
Pb 0.0000 0.5000 0.0000
Pb 0.5000 0.0000 0.0000
Pb 0.0000 0.0000 0.5000
Br 0.5000 0.5000 0.5000
Os 0.0000 0.0000 0.0000

Output
Uncorrected formation energy, meV/atom: 155
N(E_F), states/eV/atom: 1.19
Space group: No. 221
Relative energy among the computed polymorphs, meV/atom: 0
Raw total energy, eV/atom: -4.651
Theoretical density, Mg/m³: 9.70
M_tot, μB per atom: 0.000

***

(11)
A plane-wave DFT calculation with GGA-PBE was carried out for a geometry-optimized Tm6TlTe3Ir2 structure.

Lattice parameters (Å, degrees): 4.0842 8.8335 9.7343 109.23 102.11 90.00
Fractional positions:
Tm 0.9907 0.7404 0.9815
Tm 0.6834 0.5492 0.3668
Tm 0.3166 0.4508 0.6332
Tm 0.0093 0.2596 0.0185
Tm 0.3285 0.8891 0.6570
Tm 0.6715 0.1109 0.3430
Ir 0.8383 0.6820 0.6766
Ir 0.1617 0.3180 0.3234
Te 0.8372 0.1733 0.6744
Te 0.1628 0.8267 0.3256
Te 0.5000 0.5000 0.0000
Tl 0.5000 0.0000 0.0000

Output
Uncorrected formation energy, meV/atom: -936
N(E_F), states/eV/atom: 0.35
Space group: No. 12
Raw total energy, eV/atom: -5.631
Theoretical density, Mg/m³: 10.20
M_tot, μB per atom: 0.000

***

(12)
A plane-wave DFT calculation with GGA-PBE was carried out for a geometry-optimized LaSm3Ho2 structure.

Lattice parameters (Å, degrees): 6.7512 6.7512 9.0310 98.61 98.61 95.48
Fractional positions:
La 0.1065 0.8935 0.2500
La 0.8935 0.1065 0.7500
Ho 0.8711 0.3778 0.1236
Ho 0.3778 0.8711 0.6236
Ho 0.6222 0.1289 0.3764
Ho 0.1289 0.6222 0.8764
Sm 0.8487 0.6794 0.5115
Sm 0.1513 0.3206 0.4885
Sm 0.4338 0.5662 0.2500
Sm 0.3206 0.1513 0.9885
Sm 0.6794 0.8487 0.0115
Sm 0.5662 0.4338 0.7500

Output
N(E_F), states/eV/atom: 1.62
Energy relative to the elements, eV per atom: 0.066
Space group: No. 15
Relative energy among the computed polymorphs, meV/atom: 0
Raw total energy, eV/atom: -4.641
Theoretical density, Mg/m³: 7.65
M_tot, μB per atom: 0.000